No. 1
VASP calculation (PBE-GGA) on a relaxed structure of La7Tl3.

## Properties
- total magnetic moment (μB/cell) = 0.00
- V (Å³ per cell) = 330.5
- ΔE_f (kJ/mol of formula units) = -263.0
- DOS(E_F) (states/eV/atom) = 1.231
- uncorrected energy (eV for the cell shown) = -44.316
- space group = C2/m, No. 12

a = 9.4632 Å, b = 9.4632 Å, c = 7.1313 Å
α = 108.56°, β = 108.56°, γ = 33.27°
Atoms (fractional coordinates):
La: 0.0000 0.0000 0.0000
La: 0.1947 0.1947 0.6931
La: 0.3664 0.3664 0.0956
La: 0.4051 0.4051 0.6323
La: 0.5949 0.5949 0.3677
La: 0.6336 0.6336 0.9044
La: 0.8053 0.8053 0.3069
Tl: 0.0000 0.0000 0.5000
Tl: 0.1942 0.1942 0.2110
Tl: 0.8058 0.8058 0.7890


No. 2
VASP calculation (PBE-GGA) on a relaxed structure of NaRu2AuCl.

## Properties
- total magnetic moment (μB/cell) = 1.41
- uncorrected formation energy (eV per formula unit) = 5.1
- V (Å³ per cell) = 97.6
- DOS(E_F) (states/eV/atom) = 1.151
- uncorrected energy (eV for the cell shown) = -19.897
- space group = P4/mmm, No. 123

a = 4.4008 Å, b = 4.4008 Å, c = 5.0406 Å
α = 90.00°, β = 90.00°, γ = 90.00°
Atoms (fractional coordinates):
Na: 0.0000 0.0000 0.0000
Ru: 0.0000 0.5000 0.5000
Ru: 0.5000 0.0000 0.5000
Au: 0.5000 0.5000 0.0000
Cl: 0.5000 0.5000 0.5000


No. 3
VASP calculation (PBE-GGA) on a relaxed structure of Li3Th2Ni12Os.

## Properties
- total magnetic moment (μB/cell) = 0.00
- V (Å³ per cell) = 262.4
- ΔE_f (kJ/mol of formula units) = 207.3
- DOS(E_F) (states/eV/atom) = 1.035
- uncorrected energy (eV for the cell shown) = -99.038
- space group = R-3m, No. 166

a = 9.4679 Å, b = 9.4679 Å, c = 9.4679 Å
α = 36.01°, β = 36.01°, γ = 36.01°
Atoms (fractional coordinates):
Li: 0.0000 0.5000 0.5000
Li: 0.5000 0.0000 0.5000
Li: 0.5000 0.5000 0.0000
Th: 0.1362 0.1362 0.1362
Th: 0.8638 0.8638 0.8638
Ni: 0.0737 0.6211 0.6211
Ni: 0.0879 0.0879 0.6889
Ni: 0.0879 0.6889 0.0879
Ni: 0.3111 0.9121 0.9121
Ni: 0.3789 0.3789 0.9263
Ni: 0.3789 0.9263 0.3789
Ni: 0.6211 0.0737 0.6211
Ni: 0.6211 0.6211 0.0737
Ni: 0.6889 0.0879 0.0879
Ni: 0.9121 0.3111 0.9121
Ni: 0.9121 0.9121 0.3111
Ni: 0.9263 0.3789 0.3789
Os: 0.5000 0.5000 0.5000


No. 4
VASP calculation (PBE-GGA) on a relaxed structure of Pm3Zn6Au20.

## Properties
- total magnetic moment (μB/cell) = 0.00
- V (Å³ per cell) = 560.5
- ΔE_f (kJ/mol of formula units) = -821.7
- DOS(E_F) (states/eV/atom) = 0.552
- uncorrected energy (eV for the cell shown) = -95.959
- space group = Fm-3m, No. 225

a = 9.2549 Å, b = 9.2549 Å, c = 9.2549 Å
α = 60.00°, β = 60.00°, γ = 60.00°
Atoms (fractional coordinates):
Pm: 0.0000 0.0000 0.0000
Pm: 0.2500 0.2500 0.2500
Pm: 0.7500 0.7500 0.7500
Zn: 0.2679 0.2679 0.7321
Zn: 0.2679 0.7321 0.2679
Zn: 0.2679 0.7321 0.7321
Zn: 0.7321 0.2679 0.2679
Zn: 0.7321 0.2679 0.7321
Zn: 0.7321 0.7321 0.2679
Au: 0.0000 0.0000 0.3481
Au: 0.0000 0.0000 0.6519
Au: 0.0000 0.3481 0.0000
Au: 0.0000 0.3481 0.6519
Au: 0.0000 0.6519 0.0000
Au: 0.0000 0.6519 0.3481
Au: 0.1479 0.6174 0.6174
Au: 0.3481 0.0000 0.0000
Au: 0.3481 0.0000 0.6519
Au: 0.3481 0.6519 0.0000
Au: 0.3826 0.3826 0.3826
Au: 0.3826 0.3826 0.8521
Au: 0.3826 0.8521 0.3826
Au: 0.6174 0.1479 0.6174
Au: 0.6174 0.6174 0.1479
Au: 0.6174 0.6174 0.6174
Au: 0.6519 0.0000 0.0000
Au: 0.6519 0.0000 0.3481
Au: 0.6519 0.3481 0.0000
Au: 0.8521 0.3826 0.3826


No. 5
VASP calculation (PBE-GGA) on a relaxed structure of ReP2PbF.

## Properties
- total magnetic moment (μB/cell) = 3.51
- uncorrected formation energy (eV per formula unit) = 5.6
- V (Å³ per cell) = 113.2
- DOS(E_F) (states/eV/atom) = 0.392
- uncorrected energy (eV for the cell shown) = -23.295
- space group = P4/mmm, No. 123

a = 5.1504 Å, b = 5.1504 Å, c = 4.2668 Å
α = 90.00°, β = 90.00°, γ = 90.00°
Atoms (fractional coordinates):
Re: 0.0000 0.0000 0.0000
P: 0.0000 0.5000 0.5000
P: 0.5000 0.0000 0.5000
Pb: 0.5000 0.5000 0.5000
F: 0.5000 0.5000 0.0000


No. 6
VASP calculation (PBE-GGA) on a relaxed structure of Pm4In3Pt.

## Properties
- total magnetic moment (μB/cell) = 0.00
- energy above the most stable polymorph in this dataset (eV/atom) = 0.0407
- V (Å³ per cell) = 226.6
- ΔE_f (kJ/mol of formula units) = -462.0
- DOS(E_F) (states/eV/atom) = 0.943
- uncorrected energy (eV for the cell shown) = -38.046
- space group = Pmm2, No. 25

a = 3.9737 Å, b = 4.7936 Å, c = 11.8952 Å
α = 90.00°, β = 90.00°, γ = 90.00°
Atoms (fractional coordinates):
Pm: 0.0000 0.0000 0.0000
Pm: 0.0000 0.5000 0.2617
Pm: 0.5000 0.0000 0.4520
Pm: 0.5000 0.5000 0.7751
In: 0.0000 0.0000 0.6992
In: 0.0000 0.5000 0.5415
In: 0.5000 0.5000 0.0451
Pt: 0.5000 0.0000 0.2000


No. 7
VASP calculation (PBE-GGA) on a relaxed structure of Ac2ErPdS5.

## Properties
- total magnetic moment (μB/cell) = 0.00
- uncorrected formation energy (eV per formula unit) = -16.1
- V (Å³ per cell) = 423.2
- DOS(E_F) (states/eV/atom) = 0.266
- uncorrected energy (eV for the cell shown) = -109.481
- space group = Cmc2_1, No. 36

a = 8.7472 Å, b = 8.7472 Å, c = 12.4009 Å
α = 90.00°, β = 90.00°, γ = 153.51°
Atoms (fractional coordinates):
Ac: 0.1156 0.8844 0.5000
Ac: 0.1253 0.8747 0.8534
Ac: 0.8747 0.1253 0.3534
Ac: 0.8844 0.1156 0.0000
Er: 0.1784 0.8216 0.1785
Er: 0.8216 0.1784 0.6785
Pd: 0.4488 0.5512 0.5853
Pd: 0.5512 0.4488 0.0853
S: 0.0186 0.9814 0.1823
S: 0.3044 0.6956 0.5239
S: 0.3069 0.6931 0.8321
S: 0.3388 0.6612 0.1755
S: 0.5002 0.4998 0.4048
S: 0.4998 0.5002 0.9048
S: 0.6612 0.3388 0.6755
S: 0.6931 0.3069 0.3321
S: 0.6956 0.3044 0.0239
S: 0.9814 0.0186 0.6823


No. 8
VASP calculation (PBE-GGA) on a relaxed structure of SrAlFe2Sn.

## Properties
- total magnetic moment (μB/cell) = 5.02
- V (Å³ per cell) = 127.0
- ΔE_f (kJ/mol of formula units) = 932.2
- DOS(E_F) (states/eV/atom) = 1.044
- uncorrected energy (eV for the cell shown) = -16.691
- space group = P4/mmm, No. 123

a = 4.7062 Å, b = 4.7062 Å, c = 5.7336 Å
α = 90.00°, β = 90.00°, γ = 90.00°
Atoms (fractional coordinates):
Sr: 0.0000 0.0000 0.0000
Al: 0.5000 0.5000 0.5000
Fe: 0.0000 0.5000 0.0000
Fe: 0.5000 0.0000 0.0000
Sn: 0.0000 0.0000 0.5000


No. 9
VASP calculation (PBE-GGA) on a relaxed structure of P2Ru2Au.

## Properties
- total magnetic moment (μB/cell) = 0.00
- V (Å³ per cell) = 151.5
- ΔE_f (kJ/mol of formula units) = -120.7
- DOS(E_F) (states/eV/atom) = 0.196
- uncorrected energy (eV for the cell shown) = -67.799
- space group = I4/mmm, No. 139

a = 3.6371 Å, b = 3.6371 Å, c = 11.4509 Å
α = 90.00°, β = 90.00°, γ = 90.00°
Atoms (fractional coordinates):
P: 0.0000 0.5000 0.2500
P: 0.0000 0.5000 0.7500
P: 0.5000 0.0000 0.2500
P: 0.5000 0.0000 0.7500
Ru: 0.0000 0.0000 0.1252
Ru: 0.0000 0.0000 0.8748
Ru: 0.5000 0.5000 0.3748
Ru: 0.5000 0.5000 0.6252
Au: 0.0000 0.0000 0.5000
Au: 0.5000 0.5000 0.0000


No. 10
VASP calculation (PBE-GGA) on a relaxed structure of SeBr.

## Properties
- total magnetic moment (μB/cell) = 0.00
- uncorrected formation energy (eV per formula unit) = 1.1
- V (Å³ per cell) = 156.0
- DOS(E_F) (states/eV/atom) = 0.868
- uncorrected energy (eV for the cell shown) = -12.242
- space group = R-3m, No. 166

a = 4.1507 Å, b = 4.1507 Å, c = 10.4557 Å
α = 90.00°, β = 90.00°, γ = 120.00°
Atoms (fractional coordinates):
Se: 0.0000 0.0000 0.0000
Se: 0.3333 0.6667 0.6667
Se: 0.6667 0.3333 0.3333
Br: 0.0000 0.0000 0.5000
Br: 0.3333 0.6667 0.1667
Br: 0.6667 0.3333 0.8333


No. 11
VASP calculation (PBE-GGA) on a relaxed structure of Fe2SBr8.

## Properties
- total magnetic moment (μB/cell) = 9.88
- uncorrected formation energy (eV per formula unit) = -2.5
- V (Å³ per cell) = 437.6
- DOS(E_F) (states/eV/atom) = 0.312
- uncorrected energy (eV for the cell shown) = -36.903
- space group = C2/m, No. 12

a = 7.7324 Å, b = 7.7324 Å, c = 7.3782 Å
α = 94.36°, β = 94.36°, γ = 85.82°
Atoms (fractional coordinates):
Fe: 0.1927 0.1927 0.1839
Fe: 0.8073 0.8073 0.8161
S: 0.0000 0.0000 0.0000
Br: 0.0539 0.6750 0.6880
Br: 0.1757 0.1757 0.8388
Br: 0.3250 0.9461 0.3120
Br: 0.3964 0.3964 0.2384
Br: 0.6036 0.6036 0.7616
Br: 0.6750 0.0539 0.6880
Br: 0.8243 0.8243 0.1612
Br: 0.9461 0.3250 0.3120


No. 12
VASP calculation (PBE-GGA) on a relaxed structure of TaAlCuOs.

## Properties
- total magnetic moment (μB/cell) = 0.00
- V (Å³ per cell) = 237.6
- ΔE_f (kJ/mol of formula units) = -107.5
- DOS(E_F) (states/eV/atom) = 0.752
- uncorrected energy (eV for the cell shown) = -128.139
- space group = F-43m, No. 216

a = 6.1933 Å, b = 6.1933 Å, c = 6.1933 Å
α = 90.00°, β = 90.00°, γ = 90.00°
Atoms (fractional coordinates):
Ta: 0.0000 0.0000 0.0000
Ta: 0.0000 0.5000 0.5000
Ta: 0.5000 0.0000 0.5000
Ta: 0.5000 0.5000 0.0000
Al: 0.0000 0.0000 0.5000
Al: 0.0000 0.5000 0.0000
Al: 0.5000 0.0000 0.0000
Al: 0.5000 0.5000 0.5000
Cu: 0.2500 0.2500 0.2500
Cu: 0.2500 0.7500 0.7500
Cu: 0.7500 0.2500 0.7500
Cu: 0.7500 0.7500 0.2500
Os: 0.2500 0.2500 0.7500
Os: 0.2500 0.7500 0.2500
Os: 0.7500 0.2500 0.2500
Os: 0.7500 0.7500 0.7500